i:
# LiNbNiO4 | Alexandria | PBE with a Hubbard U | relaxed
data_LiNbNiO4
_cell_length_a 6.1136
_cell_length_b 6.1136
_cell_length_c 6.1136
_cell_angle_alpha 120.97
_cell_angle_beta 119.11
_cell_angle_gamma 89.93
_symmetry_space_group_name_H-M 'P 1'
_symmetry_Int_Tables_number 1
_symmetry_space_group_name_Hall 'P 1'
loop_
_atom_site_label
_atom_site_type_symbol
_atom_site_fract_x
_atom_site_fract_y
_atom_site_fract_z
Li1 Li 0.3899 0.1399 0.2500
Li2 Li 0.6101 0.8601 0.7500
Nb1 Nb 0.0000 0.5000 0.5000
Nb2 Nb 0.5000 0.5000 0.0000
Ni1 Ni 0.0000 0.0000 0.5000
Ni2 Ni 0.0000 0.5000 0.0000
O1 O 0.2077 0.7284 0.4793
O2 O 0.2510 0.2716 0.9793
O3 O 0.2513 0.2774 0.5261
O4 O 0.2513 0.7252 0.9739
O5 O 0.7487 0.2748 0.0261
O6 O 0.7487 0.7226 0.4739
O7 O 0.7490 0.7284 0.0207
O8 O 0.7923 0.2716 0.5207
# N(E_F): 0.000 states/eV/cell
# V: 11.530 Å³/atom

=====

ii:
# LiNbNiO4 | Alexandria | PBE with a Hubbard U | relaxed
data_LiNbNiO4
_cell_length_a 6.0505
_cell_length_b 6.0505
_cell_length_c 8.5985
_cell_angle_alpha 90.00
_cell_angle_beta 90.00
_cell_angle_gamma 90.00
_symmetry_space_group_name_H-M 'P 1'
_symmetry_Int_Tables_number 1
_symmetry_space_group_name_Hall 'P 1'
loop_
_atom_site_label
_atom_site_type_symbol
_atom_site_fract_x
_atom_site_fract_y
_atom_site_fract_z
Li1 Li 0.0000 0.2399 0.0000
Li2 Li 0.0000 0.7601 0.5000
Li3 Li 0.2399 0.0000 0.2500
Li4 Li 0.7601 0.0000 0.7500
Nb1 Nb 0.2536 0.2536 0.6250
Nb2 Nb 0.2536 0.7464 0.8750
Nb3 Nb 0.7464 0.2536 0.3750
Nb4 Nb 0.7464 0.7464 0.1250
Ni1 Ni 0.2444 0.5000 0.2500
Ni2 Ni 0.5000 0.2444 0.0000
Ni3 Ni 0.5000 0.7556 0.5000
Ni4 Ni 0.7556 0.5000 0.7500
O1 O 0.0035 0.2568 0.2542
O2 O 0.0035 0.7432 0.2458
O3 O 0.2568 0.0035 0.9958
O4 O 0.2572 0.4948 0.0076
O5 O 0.2572 0.5052 0.4924
O6 O 0.2568 0.9965 0.5042
O7 O 0.4948 0.2572 0.2424
O8 O 0.4948 0.7428 0.2576
O9 O 0.5052 0.2572 0.7576
O10 O 0.5052 0.7428 0.7424
O11 O 0.7432 0.0035 0.0042
O12 O 0.7428 0.4948 0.9924
O13 O 0.7428 0.5052 0.5076
O14 O 0.7432 0.9965 0.4958
O15 O 0.9965 0.2568 0.7458
O16 O 0.9965 0.7432 0.7542
# N(E_F): 0.000 states/eV/cell
# V: 11.242 Å³/atom

=====

ii ends up most stable, edging out the next structure by 0.048 eV/atom.